{"formula": "TaTi2HRh", "functional": "PBE-GGA", "state": "relaxed", "density_g_cm3": 9.4, "e_above_lowest_polymorph_mev_per_atom": 0, "cell": [[4.394, 0.000, 0.000], [0.000, 4.394, 0.000], [0.000, 0.000, 3.492]], "species": ["Ta", "Ti", "Ti", "H", "Rh"], "fractional_positions": [[0.000, 0.000, 0.000], [0.000, 0.500, 0.500], [0.500, 0.000, 0.500], [0.500, 0.500, 0.500], [0.500, 0.500, 0.000]]}